A | Compound: CaLa4Sm
Source: the Alexandria database
Functional: GGA-PBE
Structure: relaxed Values from VASP.

Structure (Quantum ESPRESSO input):
```
&SYSTEM
  ibrav = 0, nat = 6, ntyp = 3
/
ATOMIC_SPECIES
Ca 40.08 Ca.upf
La 138.91 La.upf
Sm 150.36 Sm.upf
CELL_PARAMETERS angstrom
3.677 -0.003 0.300
0.004 5.343 0.014
-0.922 -0.029 11.220
ATOMIC_POSITIONS crystal
Ca 0.000 0.500 0.000
La 0.501 0.000 0.815
La 0.499 0.000 0.185
La 0.000 0.500 0.665
La 0.000 0.500 0.335
Sm 0.500 0.000 0.500
```



B | Compound: CaLa4Sm
Source: the Alexandria database
Functional: GGA-PBE
Structure: relaxed Values from VASP.

Structure (Quantum ESPRESSO input):
```
&SYSTEM
  ibrav = 0, nat = 6, ntyp = 3
/
ATOMIC_SPECIES
Ca 40.08 Ca.upf
Sm 150.36 Sm.upf
La 138.91 La.upf
CELL_PARAMETERS angstrom
-5.763 3.630 1.028
-5.712 -1.534 -3.530
-5.363 -2.890 3.214
ATOMIC_POSITIONS crystal
Ca 0.250 0.250 0.250
Sm 0.000 0.000 0.000
La 0.628 0.628 0.116
La 0.628 0.116 0.628
La 0.628 0.628 0.628
La 0.116 0.628 0.628
```



Name the least stable of them. B.



A | Compound: CaLaTbSm
Source: the Alexandria database
Functional: GGA-PBE
Structure: relaxed Values from VASP.

Structure (Quantum ESPRESSO input):
```
&SYSTEM
  ibrav = 0, nat = 4, ntyp = 4
/
ATOMIC_SPECIES
Ca 40.08 Ca.upf
Tb 158.93 Tb.upf
Sm 150.36 Sm.upf
La 138.91 La.upf
CELL_PARAMETERS angstrom
-0.166 -4.585 -3.673
4.092 -0.566 -4.180
4.050 -4.239 0.407
ATOMIC_POSITIONS crystal
Ca 0.250 0.250 0.250
Tb 0.750 0.750 0.750
Sm 0.000 0.000 0.000
La 0.500 0.500 0.500
```



B | Compound: CaLaTbSm
Source: the Alexandria database
Functional: GGA-PBE
Structure: relaxed Values from VASP.

Structure (Quantum ESPRESSO input):
```
&SYSTEM
  ibrav = 0, nat = 4, ntyp = 4
/
ATOMIC_SPECIES
Ca 40.08 Ca.upf
La 138.91 La.upf
Tb 158.93 Tb.upf
Sm 150.36 Sm.upf
CELL_PARAMETERS angstrom
3.677 0.000 0.000
0.000 3.677 0.000
0.000 0.000 10.631
ATOMIC_POSITIONS crystal
Ca 0.000 0.000 0.078
La 0.500 0.500 0.804
Tb 0.000 0.000 0.565
Sm 0.500 0.500 0.338
```



Name the least stable of them. A.